This record from Alexandria describes a relaxed structure of InCl2F. The functional is GGA-PBE.

Properties
Its energy relative to the elements, uncorrected is -0.607 eV per atom.

Lattice parameters (Å, degrees): 3.8192 3.8192 23.3508 90.00 90.00 120.00
With the nearest neighbours (Å) after each atom.
Atoms (fractional coordinates):
In1 0.0000 0.0000 0.0000  6 Cl 2.71
In2 0.3333 0.6667 0.6667  6 Cl 2.71
In3 0.6667 0.3333 0.3333  6 Cl 2.71
Cl1 0.0000 0.0000 0.4006  1 F 2.32
Cl2 0.0000 0.0000 0.5994  1 F 2.32
Cl3 0.3333 0.6667 0.0673  1 F 2.32
Cl4 0.3333 0.6667 0.2660  1 F 2.32
Cl5 0.6667 0.3333 0.7340  1 F 2.32
Cl6 0.6667 0.3333 0.9327  1 F 2.32
F1 0.0000 0.0000 0.5000  2 Cl 2.32
F2 0.3333 0.6667 0.1667  2 Cl 2.32
F3 0.6667 0.3333 0.8333  2 Cl 2.32